An optimized crystal structure of Tb3YEr2Sb6, computed with PBE.

Space group: C2/m
Total moment in μB per formula unit: 0.0
E_form (uncorrected) in eV/atom: -1.1332
Calculated total energy in eV/atom: -5.6511

Cell lengths 4.3840, 8.7686, 9.8020 Å; angles 102.86, 102.92, 90.00 degrees
Fractional coordinates of all 12 atoms:
Sb 0.3333 0.9145 0.6666
Sb 0.3326 0.4188 0.6652
Sb 0.9990 0.7499 0.9981
Sb 0.6674 0.5812 0.3348
Sb 0.6667 0.0855 0.3334
Sb 0.0010 0.2501 0.0019
Er 0.8332 0.6668 0.6664
Er 0.1668 0.3332 0.3336
Tb 0.8337 0.1671 0.6674
Tb 0.1663 0.8329 0.3326
Tb 0.5000 0.5000 0.0000
Y 0.5000 0.0000 0.0000

***

An optimized crystal structure of LaMg2SnPd4, computed with PBE.

Space group: R-3m
Total moment in μB per formula unit: 0.0
Calculated total energy in eV/atom: -4.7758

Cell lengths 4.5725, 4.5725, 9.1117 Å; angles 75.47, 75.47, 60.00 degrees
Fractional coordinates of all 8 atoms:
Pd 0.1275 0.1275 0.6176
Pd 0.8725 0.8725 0.3824
Pd 0.3973 0.3973 0.8081
Pd 0.6027 0.6027 0.1919
Sn 0.5000 0.5000 0.5000
Mg 0.2393 0.2393 0.2821
Mg 0.7607 0.7607 0.7179
La 0.0000 0.0000 0.0000

***

An optimized crystal structure of NdHo3In, computed with PBE.

Energy above the lowest structure with this stoichiometry in meV/atom: 5
Space group: Cmcm
Total moment in μB per formula unit: 0.0
Calculated total energy in eV/atom: -4.4217

Cell lengths 4.8619, 4.8423, 12.8460 Å; angles 90.00, 79.09, 90.00 degrees
Fractional coordinates of all 10 atoms:
Ho 0.2769 0.7500 0.0946
Ho 0.7726 0.2500 0.1031
Ho 0.3715 0.2500 0.9054
Ho 0.5744 0.2500 0.4995
Ho 0.8757 0.7500 0.8969
Ho 0.0739 0.7500 0.5005
In 0.9780 0.2500 0.6923
In 0.6703 0.7500 0.3077
Nd 0.1764 0.2500 0.2956
Nd 0.4720 0.7500 0.7044

***

An optimized crystal structure of YZr2Hg, computed with PBE.

Space group: P4/mmm
Total moment in μB per formula unit: 0.0
Calculated total energy in eV/atom: -6.0283

Cell lengths 4.6725, 4.5059, 4.5059 Å; angles 90.00, 90.00, 90.00 degrees
Fractional coordinates of all 4 atoms:
Zr 0.0000 0.0000 0.0000
Zr 0.0000 0.5000 0.5000
Hg 0.5000 0.5000 0.0000
Y 0.5000 0.0000 0.5000

***

An optimized crystal structure of NiAs2Pd, computed with PBE.

Space group: R-3m
Total moment in μB per formula unit: 0.0
Calculated total energy in eV/atom: -5.1582

Cell lengths 3.5705, 3.5705, 6.2701 Å; angles 73.46, 73.46, 60.00 degrees
Fractional coordinates of all 4 atoms:
As 0.2597 0.2597 0.2210
As 0.7403 0.7403 0.7790
Pd 0.5000 0.5000 0.5000
Ni 0.0000 0.0000 0.0000

***

An optimized crystal structure of Sn2PtRh2, computed with PBE.

Energy above the lowest structure with this stoichiometry in meV/atom: 271
Space group: P6_3/mmc
Total moment in μB per formula unit: 0.0
Calculated total energy in eV/atom: -5.8834

Cell lengths 4.3724, 4.3724, 11.2124 Å; angles 90.00, 90.00, 120.00 degrees
Fractional coordinates of all 10 atoms:
Sn 0.6667 0.3333 0.3975
Sn 0.3333 0.6667 0.8975
Sn 0.6667 0.3333 0.1025
Sn 0.3333 0.6667 0.6025
Rh 0.3333 0.6667 0.2500
Rh 0.0000 0.0000 0.5000
Rh 0.0000 0.0000 0.0000
Rh 0.6667 0.3333 0.7500
Pt 0.0000 0.0000 0.7500
Pt 0.0000 0.0000 0.2500

***

An optimized crystal structure of Cu3Si, computed with PBE.

Space group: Imm2
Total moment in μB per formula unit: 0.0
E_form (uncorrected) in eV/atom: -0.0254
Calculated total energy in eV/atom: -4.4533

Cell lengths 4.8401, 4.8401, 4.8401 Å; angles 147.67, 126.02, 64.34 degrees
Fractional coordinates of all 4 atoms:
Cu 0.1574 0.5000 0.6574
Cu 0.2618 0.2544 0.0074
Cu 0.7530 0.7456 0.0074
Si 0.6612 0.0000 0.6612

***

An optimized crystal structure of ScU2S4, computed with PBE.

Space group: Cmcm
Total moment in μB per formula unit: 6.0
E_form (uncorrected) in eV/atom: -1.4382
Calculated total energy in eV/atom: -7.9264

Cell lengths 3.6226, 6.7062, 13.0582 Å; angles 90.00, 90.00, 105.67 degrees
Fractional coordinates of all 14 atoms:
S 0.2131 0.4262 0.8725
S 0.7869 0.5738 0.3725
S 0.2131 0.4262 0.6275
S 0.7869 0.5738 0.1275
S 0.9759 0.9517 0.7500
S 0.5000 0.0000 0.0000
S 0.0241 0.0483 0.2500
S 0.5000 0.0000 0.5000
Sc 0.3756 0.7513 0.2500
Sc 0.6244 0.2487 0.7500
U 0.1366 0.2731 0.0723
U 0.8634 0.7269 0.5723
U 0.8634 0.7269 0.9277
U 0.1366 0.2731 0.4277

***

An optimized crystal structure of PuBiTeO6, computed with PBE.

Space group: P-31c
Total moment in μB per formula unit: 3.0
E_form (uncorrected) in eV/atom: -1.6741
Calculated total energy in eV/atom: -7.3523

Cell lengths 5.7451, 5.7451, 9.7736 Å; angles 90.00, 90.00, 120.00 degrees
Fractional coordinates of all 18 atoms:
Te 0.6667 0.3333 0.7500
Te 0.3333 0.6667 0.2500
Pu 0.6667 0.3333 0.2500
Pu 0.3333 0.6667 0.7500
O 0.6467 0.6489 0.6361
O 0.9978 0.3511 0.1361
O 0.6467 0.9978 0.8639
O 0.3511 0.3533 0.8639
O 0.9978 0.6467 0.3639
O 0.6489 0.0022 0.3639
O 0.3533 0.0022 0.1361
O 0.3511 0.9978 0.6361
O 0.0022 0.3533 0.6361
O 0.6489 0.6467 0.1361
O 0.0022 0.6489 0.8639
O 0.3533 0.3511 0.3639
Bi 0.0000 0.0000 0.5000
Bi 0.0000 0.0000 0.0000

***

An optimized crystal structure of HfPa2Ga, computed with PBE.

Energy above the lowest structure with this stoichiometry in meV/atom: 158
Space group: R-3m
Total moment in μB per formula unit: 0.0
Calculated total energy in eV/atom: -8.0048

Cell lengths 3.1202, 3.1202, 11.0040 Å; angles 81.85, 81.85, 60.00 degrees
Fractional coordinates of all 4 atoms:
Ga 0.0000 0.0000 0.0000
Pa 0.7468 0.7468 0.7595
Pa 0.2532 0.2532 0.2405
Hf 0.5000 0.5000 0.5000

***

An optimized crystal structure of ZrAsI2, computed with PBE.

Energy above the lowest structure with this stoichiometry in meV/atom: 159
Space group: P1
Total moment in μB per formula unit: 0.0
E_form (uncorrected) in eV/atom: -0.6245
Calculated total energy in eV/atom: -4.6990

Cell lengths 5.3826, 7.9670, 8.0385 Å; angles 100.42, 108.46, 100.64 degrees
Fractional coordinates of all 8 atoms:
Zr 0.4558 0.1752 0.5000
Zr 0.6157 0.7569 0.5329
As 0.8869 0.0581 0.4807
As 0.4220 0.8880 0.2583
I 0.3458 0.3619 0.2279
I 0.0373 0.6147 0.4716
I 0.6671 0.5050 0.7922
I 0.5686 0.0131 0.8238

***

An optimized crystal structure of CeSmTe2N, computed with PBE.

Space group: P4/nmm
Total moment in μB per formula unit: 0.0
E_form (uncorrected) in eV/atom: -1.3926
Calculated total energy in eV/atom: -6.4449

Cell lengths 4.1838, 4.1838, 16.1520 Å; angles 90.00, 90.00, 90.00 degrees
Fractional coordinates of all 10 atoms:
Te 0.5000 0.0000 0.9183
Te 0.0000 0.5000 0.0817
Te 0.5000 0.0000 0.3190
Te 0.0000 0.5000 0.6810
Sm 0.5000 0.0000 0.1375
Sm 0.0000 0.5000 0.8625
N 0.5000 0.5000 0.5000
N 0.0000 0.0000 0.5000
Ce 0.0000 0.5000 0.4356
Ce 0.5000 0.0000 0.5644

***

Question: Which value of total moment does entry 11 give?
Answer: 0.0 μB per formula unit